# Cs2BaTlBr6 | Alexandria | PBE | relaxed
# * total energy: -3.128 eV/atom
# * calculated volume: 441 Å³/f.u.
# * spin magnetization: 0.00 μB/f.u.
# * ΔE_f (raw): -1524 meV/atom
# * density: 4.1 Mg/m³
data_Cs2BaTlBr6
_space_group_name_H-M_alt 'P 1 21/c 1'
_space_group_IT_number 14
_space_group_name_Hall '-P 2ybc'
_cell_length_a 8.384
_cell_length_b 8.733
_cell_length_c 14.578
_cell_angle_alpha 90.00
_cell_angle_beta 124.35
_cell_angle_gamma 90.00
loop_
_atom_site_label
_atom_site_type_symbol
_atom_site_fract_x
_atom_site_fract_y
_atom_site_fract_z
_atom_site_occupancy
Cs1 Cs 0.226 0.066 0.248 1
Ba1 Ba 0.500 0.000 0.000 1
Tl1 Tl 0.000 0.000 0.500 1
Br1 Br 0.144 0.210 0.951 1
Br2 Br 0.244 0.697 0.952 1
Br3 Br 0.335 0.025 0.741 1

=====

# Sm4Y5Al | Alexandria | PBE | relaxed
# * total energy: -5.561 eV/atom
# * calculated volume: 313 Å³/f.u.
# * spin magnetization: 0.00 μB/f.u.
# * density: 5.7 Mg/m³
data_Sm4Y5Al
_space_group_name_H-M_alt 'P 4/m m m'
_space_group_IT_number 123
_space_group_name_Hall '-P 4 2'
_cell_length_a 3.584
_cell_length_b 3.584
_cell_length_c 24.333
_cell_angle_alpha 90.00
_cell_angle_beta 90.00
_cell_angle_gamma 90.00
loop_
_atom_site_label
_atom_site_type_symbol
_atom_site_fract_x
_atom_site_fract_y
_atom_site_fract_z
_atom_site_occupancy
Sm1 Sm 0.000 0.000 0.105 1
Sm2 Sm 0.000 0.000 0.316 1
Y1 Y 0.500 0.500 0.000 1
Y2 Y 0.500 0.500 0.211 1
Y3 Y 0.500 0.500 0.423 1
Al1 Al 0.000 0.000 0.500 1

=====

# Dy3TaO7 | Alexandria | PBE | relaxed
# * total energy: -8.886 eV/atom
# * calculated volume: 147 Å³/f.u.
# * spin magnetization: 0.00 μB/f.u.
# * ΔE_f (raw): -3399 meV/atom
# * density: 8.8 Mg/m³
data_Dy3TaO7
_space_group_name_H-M_alt 'C m c m'
_space_group_IT_number 63
_space_group_name_Hall '-C 2c 2'
_cell_length_a 10.613
_cell_length_b 7.367
_cell_length_c 7.517
_cell_angle_alpha 90.00
_cell_angle_beta 90.00
_cell_angle_gamma 90.00
loop_
_atom_site_label
_atom_site_type_symbol
_atom_site_fract_x
_atom_site_fract_y
_atom_site_fract_z
_atom_site_occupancy
Dy1 Dy 0.000 0.000 0.000 1
Dy2 Dy 0.230 0.286 0.250 1
Ta1 Ta 0.000 0.500 0.000 1
O1 O 0.000 0.422 0.250 1
O2 O 0.129 0.307 0.535 1
O3 O 0.133 0.021 0.250 1

=====

# SrCeSe3 | Alexandria | PBE | relaxed
# * total energy: -5.371 eV/atom
# * calculated volume: 144 Å³/f.u.
# * spin magnetization: 0.16 μB/f.u.
# * ΔE_f (raw): -1757 meV/atom
# * density: 5.4 Mg/m³
data_SrCeSe3
_space_group_name_H-M_alt 'P m m n'
_space_group_IT_number 59
_cell_length_a 4.418
_cell_length_b 6.980
_cell_length_c 9.351
_cell_angle_alpha 90.00
_cell_angle_beta 90.00
_cell_angle_gamma 90.00
loop_
_space_group_symop_operation_xyz
'x,y,z'
'-x,-y,-z'
'-x+1/2,-y+1/2,z'
'x+1/2,y+1/2,-z'
'x+1/2,-y,-z'
'-x+1/2,y,z'
'-x,y+1/2,-z'
'x,-y+1/2,z'
loop_
_atom_site_label
_atom_site_type_symbol
_atom_site_fract_x
_atom_site_fract_y
_atom_site_fract_z
_atom_site_occupancy
Sr1 Sr 0.250 0.250 0.136 1
Ce1 Ce 0.250 0.750 0.390 1
Se1 Se 0.250 0.515 0.656 1
Se2 Se 0.250 0.750 0.087 1